Density functional theory data (PBE) for crystalline RbMgHg at its relaxed geometry.

- E above lowest polymorph: 103 meV per atom
- Energy of formation from the pure elements: -0.048 eV/atom

Geometry as POSCAR:
```
RbMgHg
1.0
5.017 0.000 0.000
-2.508 4.345 0.000
0.000 0.000 5.387
Rb Mg Hg
1 1 1
Direct
0.000 0.000 0.000
0.667 0.333 0.499
0.333 0.667 0.500
```